Entry 1:
A relaxed structure of ScTa2Al. Source: Alexandria via LeMat-Bulk, functional GGA-PBE.

## Properties
- ΔH_f (0 K) (eV/atom) = -0.0910
- space group = I4/mmm, No. 139

Geometry as POSCAR:
```
ScTa2Al
1.0
-2.0287 2.0287 4.5238
2.0287 -2.0287 4.5238
2.0287 2.0287 -4.5238
Sc Ta Al
1 2 1
direct
0.0000 0.0000 0.0000
0.2500 0.7500 0.5000
0.7500 0.2500 0.5000
0.5000 0.5000 0.0000
```

***

Entry 2:
A relaxed structure of PrSi2Ni2. Source: Alexandria via LeMat-Bulk, functional GGA-PBE.

## Properties
- formation energy without anion corrections (kcal/mol of atoms) = -18.293
- space group = I4/mmm, No. 139

Geometry as POSCAR:
```
PrSi2Ni2
1.0
-2.0370 2.0370 4.8304
2.0370 -2.0370 4.8304
2.0370 2.0370 -4.8304
Pr Si Ni
1 2 2
direct
0.0000 0.0000 0.0000
0.3689 0.3689 0.0000
0.6311 0.6311 0.0000
0.2500 0.7500 0.5000
0.7500 0.2500 0.5000
```

***

Entry 3:
A relaxed structure of Tc2NiTeRu. Source: Alexandria via LeMat-Bulk, functional GGA-PBE.

## Properties
- formation energy without anion corrections (kcal/mol of atoms) = 43.699
- space group = P4/mmm, No. 123

Geometry as POSCAR:
```
Tc2NiTeRu
1.0
4.8369 0.0000 0.0000
0.0000 4.8369 0.0000
0.0000 0.0000 4.4370
Tc Ni Te Ru
2 1 1 1
direct
0.0000 0.5000 0.0000
0.5000 0.0000 0.0000
0.0000 0.0000 0.5000
0.0000 0.0000 0.0000
0.5000 0.5000 0.5000
```

***

Entry 4:
A relaxed structure of Pa2Se4Br. Source: Alexandria via LeMat-Bulk, functional GGA-PBE.

## Properties
- formation energy without anion corrections (kcal/mol of atoms) = -30.911
- space group = Cc, No. 9

Geometry as POSCAR:
```
Pa2Se4Br
1.0
5.4115 -7.0707 0.0000
5.4115 7.0707 0.0000
-4.8140 0.0000 5.3832
Pa Se Br
4 8 2
direct
0.0001 0.5001 0.8388
0.0518 0.9482 0.5000
0.5001 0.0001 0.3388
0.9482 0.0518 0.0000
0.1428 0.8576 0.8593
0.1871 0.2869 0.9555
0.2472 0.7526 0.3713
0.2869 0.1871 0.4555
0.7131 0.8130 0.4819
0.7526 0.2472 0.8713
0.8130 0.7131 0.9819
0.8576 0.1428 0.3593
0.3652 0.6355 0.8910
0.6355 0.3652 0.3910
```